[1]
DFT (GGA-PBE) results for SrTbSe after structural relaxation.

```
data_SrTbSe
_symmetry_space_group_name_H-M 'P -6 m 2'
_symmetry_Int_Tables_number 187
_symmetry_space_group_name_Hall 'P -6 2'
_cell_length_a 4.0542
_cell_length_b 4.0542
_cell_length_c 14.1204
_cell_angle_alpha 90.00
_cell_angle_beta 90.00
_cell_angle_gamma 120.00
loop_
_atom_site_label
_atom_site_type_symbol
_atom_site_fract_x
_atom_site_fract_y
_atom_site_fract_z
_atom_site_occupancy
Sr1 Sr 0.0000 0.0000 0.1418 1
Tb1 Tb 0.3333 0.6667 0.3726 1
Se1 Se 0.0000 0.0000 0.5000 1
Se2 Se 0.3333 0.6667 0.0000 1
```

Calculated values
E_tot: -4.287 eV/atom
Volume: 33.5 Å³ per atom
Formation energy without anion corrections: -1.02 eV per atom

***

[2]
DFT (GGA-PBE) results for MgCu2Pt2 after structural relaxation.

```
data_MgCu2Pt2
_symmetry_space_group_name_H-M 'P 4/m b m'
_symmetry_Int_Tables_number 127
_symmetry_space_group_name_Hall '-P 4 2ab'
_cell_length_a 7.189
_cell_length_b 7.189
_cell_length_c 2.917
_cell_angle_alpha 90.00
_cell_angle_beta 90.00
_cell_angle_gamma 90.00
loop_
_atom_site_label
_atom_site_type_symbol
_atom_site_fract_x
_atom_site_fract_y
_atom_site_fract_z
_atom_site_occupancy
Mg1 Mg 0.000 0.000 0.000 1
Cu1 Cu 0.122 0.378 0.000 1
Pt1 Pt 0.175 0.675 0.500 1
```

Calculated values
Energy relative to the elements: -0.30 eV/atom
E_tot: -4.672 eV/atom
Volume: 15.1 Å³ per atom

***

[3]
DFT (GGA-PBE) results for HgMo3 after structural relaxation.

```
data_HgMo3
_symmetry_space_group_name_H-M 'I m m m'
_symmetry_Int_Tables_number 71
_symmetry_space_group_name_Hall '-I 2 2'
_cell_length_a 3.356
_cell_length_b 4.500
_cell_length_c 8.982
_cell_angle_alpha 90.00
_cell_angle_beta 90.00
_cell_angle_gamma 90.00
loop_
_atom_site_label
_atom_site_type_symbol
_atom_site_fract_x
_atom_site_fract_y
_atom_site_fract_z
_atom_site_occupancy
Hg1 Hg 0.000 0.000 0.000 1
Mo1 Mo 0.000 0.000 0.500 1
Mo2 Mo 0.000 0.500 0.231 1
```

Calculated values
Energy relative to the elements: 0.44 eV/atom
E_tot: -7.757 eV/atom
Volume: 17.0 Å³ per atom

***

[4]
DFT (GGA-PBE) results for CsVS3 after structural relaxation.

```
data_CsVS3
_symmetry_space_group_name_H-M 'R -3'
_symmetry_Int_Tables_number 148
_symmetry_space_group_name_Hall '-R 3'
_cell_length_a 6.4934
_cell_length_b 6.4934
_cell_length_c 22.9860
_cell_angle_alpha 90.00
_cell_angle_beta 90.00
_cell_angle_gamma 120.00
loop_
_atom_site_label
_atom_site_type_symbol
_atom_site_fract_x
_atom_site_fract_y
_atom_site_fract_z
_atom_site_occupancy
Cs1 Cs 0.0000 0.0000 0.1254 1
V1 V 0.0000 0.0000 0.3453 1
S1 S 0.0109 0.4691 0.9387 1
```

Calculated values
E_tot: -5.328 eV/atom
Volume: 28.0 Å³ per atom
Formation energy without anion corrections: -0.86 eV per atom

***

[5]
DFT (GGA-PBE) results for Cu2TcSe after structural relaxation.

```
data_Cu2TcSe
_symmetry_space_group_name_H-M 'A m m 2'
_symmetry_Int_Tables_number 38
_symmetry_space_group_name_Hall 'A 2 -2'
_cell_length_a 4.408
_cell_length_b 2.621
_cell_length_c 10.234
_cell_angle_alpha 90.00
_cell_angle_beta 90.00
_cell_angle_gamma 90.00
loop_
_atom_site_label
_atom_site_type_symbol
_atom_site_fract_x
_atom_site_fract_y
_atom_site_fract_z
_atom_site_occupancy
Cu1 Cu 0.000 0.000 0.000 1
Cu2 Cu 0.500 0.000 0.119 1
Tc1 Tc 0.000 0.000 0.727 1
Se1 Se 0.500 0.000 0.852 1
```

Calculated values
E_tot: -5.205 eV/atom
Volume: 14.8 Å³ per atom
Formation energy without anion corrections: 0.31 eV per atom

***

[6]
DFT (GGA-PBE) results for PuMgInGe after structural relaxation.

```
data_PuMgInGe
_symmetry_space_group_name_H-M 'F -4 3 m'
_symmetry_Int_Tables_number 216
_symmetry_space_group_name_Hall 'F -4 2 3'
_cell_length_a 7.173
_cell_length_b 7.173
_cell_length_c 7.173
_cell_angle_alpha 90.00
_cell_angle_beta 90.00
_cell_angle_gamma 90.00
loop_
_atom_site_label
_atom_site_type_symbol
_atom_site_fract_x
_atom_site_fract_y
_atom_site_fract_z
_atom_site_occupancy
Pu1 Pu 0.000 0.000 0.000 1
Mg1 Mg 0.000 0.000 0.500 1
In1 In 0.250 0.250 0.250 1
Ge1 Ge 0.250 0.250 0.750 1
```

Calculated values
Energy relative to the elements: -0.17 eV/atom
E_tot: -5.989 eV/atom
Volume: 23.1 Å³ per atom

***

[7]
DFT (GGA-PBE) results for CaSb2O4 after structural relaxation.

```
data_CaSb2O4
_symmetry_space_group_name_H-M 'C 1 2/m 1'
_symmetry_Int_Tables_number 12
_symmetry_space_group_name_Hall '-C 2y'
_cell_length_a 13.486
_cell_length_b 3.521
_cell_length_c 11.296
_cell_angle_alpha 90.00
_cell_angle_beta 116.53
_cell_angle_gamma 90.00
loop_
_atom_site_label
_atom_site_type_symbol
_atom_site_fract_x
_atom_site_fract_y
_atom_site_fract_z
_atom_site_occupancy
Ca1 Ca 0.250 0.000 0.250 1
Sb1 Sb 0.112 0.000 0.897 1
Sb2 Sb 0.112 0.500 0.397 1
O1 O 0.083 0.000 0.279 1
O2 O 0.083 0.500 0.779 1
O3 O 0.240 0.000 0.605 1
O4 O 0.240 0.500 0.105 1
```

Calculated values
E_tot: -6.084 eV/atom
Volume: 17.1 Å³ per atom
Formation energy without anion corrections: -1.79 eV per atom

***

[8]
DFT (GGA-PBE) results for Ni2HgAu after structural relaxation.

```
data_Ni2HgAu
_symmetry_space_group_name_H-M 'I -4 m 2'
_symmetry_Int_Tables_number 119
_symmetry_space_group_name_Hall 'I -4 -2'
_cell_length_a 3.875
_cell_length_b 3.875
_cell_length_c 8.074
_cell_angle_alpha 90.00
_cell_angle_beta 90.00
_cell_angle_gamma 90.00
loop_
_atom_site_label
_atom_site_type_symbol
_atom_site_fract_x
_atom_site_fract_y
_atom_site_fract_z
_atom_site_occupancy
Ni1 Ni 0.000 0.000 0.000 1
Ni2 Ni 0.000 0.500 0.250 1
Hg1 Hg 0.000 0.000 0.500 1
Au1 Au 0.000 0.500 0.750 1
```

Calculated values
Energy relative to the elements: 0.19 eV/atom
E_tot: -3.591 eV/atom
Volume: 15.2 Å³ per atom

***

[9]
DFT (GGA-PBE) results for SbI2Cl6 after structural relaxation.

```
data_SbI2Cl6
_symmetry_space_group_name_H-M 'C 1 2/c 1'
_symmetry_Int_Tables_number 15
_symmetry_space_group_name_Hall '-C 2yc'
_cell_length_a 16.427
_cell_length_b 14.630
_cell_length_c 6.871
_cell_angle_alpha 90.00
_cell_angle_beta 105.00
_cell_angle_gamma 90.00
loop_
_atom_site_label
_atom_site_type_symbol
_atom_site_fract_x
_atom_site_fract_y
_atom_site_fract_z
_atom_site_occupancy
Sb1 Sb 0.000 0.224 0.250 1
I1 I 0.145 0.405 0.603 1
Cl1 Cl 0.070 0.119 0.090 1
Cl2 Cl 0.135 0.226 0.577 1
Cl3 Cl 0.151 0.428 0.111 1
```

Calculated values
E_tot: -2.474 eV/atom
Volume: 44.3 Å³ per atom
Formation energy without anion corrections: -0.44 eV per atom

***

[10]
DFT (GGA-PBE) results for Hf4TiIn4 after structural relaxation.

```
data_Hf4TiIn4
_symmetry_space_group_name_H-M 'I -4 2 m'
_symmetry_Int_Tables_number 121
_symmetry_space_group_name_Hall 'I -4 2'
_cell_length_a 7.677
_cell_length_b 7.677
_cell_length_c 7.364
_cell_angle_alpha 90.00
_cell_angle_beta 90.00
_cell_angle_gamma 90.00
loop_
_atom_site_label
_atom_site_type_symbol
_atom_site_fract_x
_atom_site_fract_y
_atom_site_fract_z
_atom_site_occupancy
Hf1 Hf 0.000 0.000 0.173 1
Hf2 Hf 0.000 0.500 0.000 1
Ti1 Ti 0.000 0.000 0.500 1
In1 In 0.244 0.244 0.685 1
```

Calculated values
Energy relative to the elements: 0.52 eV/atom
E_tot: -5.996 eV/atom
Volume: 24.1 Å³ per atom

***

What is the E_tot in the fourth record? -5.328 eV/atom

***

The highest volume belongs to which entry? SbI2Cl6